First-principles (PBE with a Hubbard U) data for a relaxed structure of Li3Co3NiO8, as listed in the Alexandria database.

Cell: 5.6646 5.6646 9.2904 Å, 90.00 90.00 120.00°
Space group P6_3mc (No. 186)
One atom of each set of equivalent atoms:
Li1 0.1729 0.3459 0.0000 [6 per cell]
Co1 0.1671 0.3342 0.7309 [6 per cell]
Ni1 0.3333 0.6667 0.4532 [2 per cell]
O1 0.0000 0.0000 0.1215 [2 per cell]
O2 0.0301 0.5151 0.6141 [6 per cell]
O3 0.1563 0.3126 0.3395 [6 per cell]
O4 0.3333 0.6667 0.8424 [2 per cell]

Summary:
Excess energy over the best structure of this formula in the dataset: 43 meV per atom
Theoretical density: 4.944 g cm⁻³